[1]
LiNdSiPt: optimized geometry, GGA-PBE.

The calculation puts the magnetization at 0.00 Bohr magnetons per cell. The uncorrected formation energy comes out at -272 kJ/mol of formula units.

The space group is F-43m (No. 216) and the conventional cell measures 6.620, 6.620 and 6.620 Å, with angles of 90.00, 90.00 and 90.00 degrees. Symmetry generates all atoms from Li at (0.000, 0.000, 0.000), Nd at (0.250, 0.250, 0.250), Si at (0.250, 0.250, 0.750) and Pt at (0.000, 0.000, 0.500).

=====

[2]
LiNd2Sn4Pt3: optimized geometry, GGA-PBE.

The calculation puts the magnetization at 0.00 Bohr magnetons per cell. The value obtained for the energy of formation is -0.800 eV per atom.

The space group is P-4m2 (No. 115) and the conventional cell measures 4.526, 4.526 and 11.047 Å, with angles of 90.00, 90.00 and 90.00 degrees. Symmetry generates all atoms from Li at (0.000, 0.000, 0.000), Nd at (0.000, 0.500, 0.758), Sn at (0.000, 0.000, 0.500), Sn at (0.000, 0.500, 0.131), Sn at (0.500, 0.500, 0.500), Pt at (0.000, 0.500, 0.368) and Pt at (0.500, 0.500, 0.000).

=====

[3]
LiNd2Sn3Pt4: optimized geometry, GGA-PBE.

The calculation puts the magnetization at 0.00 Bohr magnetons per cell. The value obtained for the energy of formation is -0.823 eV per atom.

The space group is P-4m2 (No. 115) and the conventional cell measures 4.466, 4.466 and 10.957 Å, with angles of 90.00, 90.00 and 90.00 degrees. Symmetry generates all atoms from Li at (0.000, 0.000, 0.000), Nd at (0.000, 0.500, 0.751), Sn at (0.000, 0.500, 0.366), Sn at (0.500, 0.500, 0.000), Pt at (0.000, 0.000, 0.500), Pt at (0.000, 0.500, 0.131) and Pt at (0.500, 0.500, 0.500).

=====

[4]
LiNdSn2Pt4: optimized geometry, GGA-PBE.

The calculation puts the magnetization at 0.00 Bohr magnetons per cell. The value obtained for the energy of formation is -0.759 eV per atom.

The space group is R-3m (No. 166, hexagonal axes) and the conventional cell measures 4.4841, 4.4841 and 26.2606 Å, with angles of 90.00, 90.00 and 120.00 degrees. Symmetry generates all atoms from Li at (0.0000, 0.0000, 0.0000), Nd at (0.0000, 0.0000, 0.5000), Sn at (0.0000, 0.0000, 0.2606), Pt at (0.0000, 0.0000, 0.0987) and Pt at (0.0000, 0.0000, 0.3652).

=====

[5]
LiTbNdPt: optimized geometry, GGA-PBE.

The calculation puts the magnetization at 0.00 Bohr magnetons per cell. The value obtained for the energy of formation is -0.577 eV per atom.

The space group is F-43m (No. 216) and the conventional cell measures 7.185, 7.185 and 7.185 Å, with angles of 90.00, 90.00 and 90.00 degrees. Symmetry generates all atoms from Li at (0.000, 0.000, 0.000), Tb at (0.250, 0.250, 0.750), Nd at (0.250, 0.250, 0.250) and Pt at (0.000, 0.000, 0.500).

=====

[6]
LiNdThPt: optimized geometry, GGA-PBE.

The calculation puts the magnetization at 0.00 Bohr magnetons per cell. The value obtained for the energy of formation is -0.420 eV per atom.

The space group is F-43m (No. 216) and the conventional cell measures 7.282, 7.282 and 7.282 Å, with angles of 90.00, 90.00 and 90.00 degrees. Symmetry generates all atoms from Li at (0.000, 0.000, 0.000), Nd at (0.250, 0.250, 0.250), Th at (0.250, 0.250, 0.750) and Pt at (0.000, 0.000, 0.500).

=====

[7]
LiNd2TiPt6: optimized geometry, GGA-PBE.

The calculation puts the magnetization at 0.00 Bohr magnetons per cell. The value obtained for the energy of formation is -0.745 eV per atom.

The space group is R-3m (No. 166, hexagonal axes) and the conventional cell measures 5.7420, 5.7420 and 23.2088 Å, with angles of 90.00, 90.00 and 120.00 degrees. Symmetry generates all atoms from Li at (0.0000, 0.0000, 0.0000), Nd at (0.0000, 0.0000, 0.2064), Ti at (0.0000, 0.0000, 0.5000) and Pt at (0.0059, 0.5029, 0.7541).

=====

[8]
LiNdTlPt: optimized geometry, GGA-PBE.

The calculation puts the magnetization at 0.00 Bohr magnetons per cell. The value obtained for the energy of formation is -0.565 eV per atom.

The space group is F-43m (No. 216) and the conventional cell measures 6.968, 6.968 and 6.968 Å, with angles of 90.00, 90.00 and 90.00 degrees. Symmetry generates all atoms from Li at (0.000, 0.000, 0.000), Nd at (0.250, 0.250, 0.750), Tl at (0.250, 0.250, 0.250) and Pt at (0.000, 0.000, 0.500).